--- A ---
Compound: Mg2In2H
Source: Alexandria via LeMat-Bulk
Functional: PBE
Structure: optimized geometry

Cell and atoms, written as POSCAR:
```
Mg2In2H
1.0
6.423 0.000 0.000
0.000 6.423 0.000
0.000 0.000 5.140
Mg In H
4 4 2
direct
0.165 0.335 0.000
0.335 0.835 0.000
0.665 0.165 0.000
0.835 0.665 0.000
0.169 0.669 0.500
0.331 0.169 0.500
0.669 0.831 0.500
0.831 0.331 0.500
0.000 0.000 0.500
0.500 0.500 0.500
```

Its symmetry is P4/mbm (127). The calculation puts the calculated volume at 212.1 Å³ per cell. Its total moment is 0.000 μB/f.u. The calculation puts the density of states at the Fermi level at 0.880 states/eV/f.u.

***

--- B ---
Compound: Mg2In2H
Source: Alexandria via LeMat-Bulk
Functional: PBE
Structure: optimized geometry

Cell and atoms, written as POSCAR:
```
Mg2In2H
1.0
-1.981 1.981 7.785
1.981 -1.981 7.785
1.981 1.981 -7.785
Mg In H
2 2 1
direct
0.250 0.750 0.500
0.750 0.250 0.500
0.092 0.092 0.000
0.908 0.908 0.000
0.500 0.500 0.000
```

Its symmetry is I4/mmm (139). The calculation puts the calculated volume at 122.3 Å³ per cell. Its total moment is 0.000 μB/f.u. The calculation puts the density of states at the Fermi level at 2.352 states/eV/f.u.

***

Last place for stability: B